(1)
U2SiTc | PBE | relaxed

Output
Formation energy without anion corrections   -0.223 eV per atom
Raw total energy   -9.814 eV/atom
Calculated volume   75.4 Å³ per cell
ΔE to the lowest computed polymorph   0.0549 eV per atom
ρ   13.27 g/cm³

Unit cell a=3.627 b=3.627 c=5.728 alpha=90.00 beta=90.00 gamma=90.00
Atoms (fractional coordinates):
1 U 0.000 0.000 0.220
2 U 0.000 0.000 0.780
3 Si 0.500 0.500 0.000
4 Tc 0.500 0.500 0.500

(2)
ScTlAgS2 | PBE | relaxed

Output
Formation energy without anion corrections   -0.792 eV per atom
Raw total energy   -4.752 eV/atom
Calculated volume   254.5 Å³ per cell
ρ   5.50 g/cm³

Unit cell a=6.598 b=5.907 c=6.788 alpha=90.00 beta=105.85 gamma=90.00
Atoms (fractional coordinates):
1 Sc 0.000 0.009 0.250
2 Sc 0.000 0.991 0.750
3 Tl 0.500 0.302 0.250
4 Tl 0.500 0.698 0.750
5 Ag 0.000 0.500 0.000
6 Ag 0.000 0.500 0.500
7 S 0.237 0.177 0.569
8 S 0.237 0.823 0.069
9 S 0.763 0.177 0.931
10 S 0.763 0.823 0.431

(3)
RhC3 | PBE | relaxed

Output
Calculated formation energy   2353 meV per atom
Raw total energy   -6.403 eV/atom
Calculated volume   35.4 Å³ per cell
ΔE to the lowest computed polymorph   1.7854 eV per atom
ρ   6.52 g/cm³

Unit cell a=3.581 b=3.581 c=3.581 alpha=109.47 beta=109.47 gamma=109.47
Atoms (fractional coordinates):
1 Rh 0.000 0.000 0.000
2 C 0.000 0.500 0.500
3 C 0.500 0.000 0.500
4 C 0.500 0.500 0.000

(4)
YIrCl3 | PBE | relaxed

Output
Formation energy without anion corrections   -0.192 eV per atom
Raw total energy   -4.365 eV/atom
Calculated volume   112.6 Å³ per cell
ΔE to the lowest computed polymorph   0.1470 eV per atom
ρ   5.71 g/cm³

Unit cell a=4.829 b=4.829 c=4.829 alpha=90.00 beta=90.00 gamma=90.00
Atoms (fractional coordinates):
1 Y 0.000 0.000 0.000
2 Ir 0.500 0.500 0.500
3 Cl 0.000 0.500 0.500
4 Cl 0.500 0.000 0.500
5 Cl 0.500 0.500 0.000

(5)
Hf2TlNiCl | PBE | relaxed

Output
Formation energy without anion corrections   0.325 eV per atom
Raw total energy   -5.655 eV/atom
Calculated volume   116.2 Å³ per cell
ρ   9.37 g/cm³

Unit cell a=4.866 b=4.866 c=4.907 alpha=90.00 beta=90.00 gamma=90.00
Atoms (fractional coordinates):
1 Hf 0.000 0.500 0.000
2 Hf 0.500 0.000 0.000
3 Tl 0.000 0.000 0.500
4 Ni 0.000 0.000 0.000
5 Cl 0.500 0.500 0.500

(6)
FeTc2Ge6 | PBE | relaxed

Output
Calculated formation energy   119 meV per atom
Raw total energy   -6.203 eV/atom
Calculated volume   146.3 Å³ per cell
ρ   7.81 g/cm³

Unit cell a=7.845 b=7.845 c=3.256 alpha=101.88 beta=101.88 gamma=48.53
Atoms (fractional coordinates):
1 Fe 0.000 0.000 0.000
2 Tc 0.339 0.339 0.338
3 Tc 0.661 0.661 0.662
4 Ge 0.033 0.637 0.834
5 Ge 0.284 0.716 0.500
6 Ge 0.363 0.967 0.166
7 Ge 0.637 0.033 0.834
8 Ge 0.716 0.284 0.500
9 Ge 0.967 0.363 0.166

(7)
CrFeAg | PBE | relaxed

Output
Calculated formation energy   509 meV per atom
Raw total energy   -6.470 eV/atom
Calculated volume   43.7 Å³ per cell
ΔE to the lowest computed polymorph   0.1007 eV per atom
ρ   8.19 g/cm³

Unit cell a=4.261 b=4.261 c=2.783 alpha=90.00 beta=90.00 gamma=120.00
Atoms (fractional coordinates):
1 Cr 0.000 0.000 0.000
2 Fe 0.667 0.333 0.125
3 Ag 0.333 0.667 0.557

(8)
AlCoNi2H | PBE | relaxed

Output
Raw total energy   -5.485 eV/atom
Calculated volume   47.1 Å³ per cell
ΔE to the lowest computed polymorph   0.0000 eV per atom
ρ   7.20 g/cm³

Unit cell a=3.592 b=3.592 c=3.650 alpha=90.00 beta=90.00 gamma=90.00
Atoms (fractional coordinates):
1 Al 0.000 0.000 0.000
2 Co 0.500 0.500 0.000
3 Ni 0.000 0.500 0.500
4 Ni 0.500 0.000 0.500
5 H 0.500 0.500 0.500